# 1
CaHoGaGe PBE-GGA optimized geometry; symmetry = F-43m (216); calculated total energy = -4.062 eV/atom; formation energy from the elements = -0.51 eV/atom; relative energy among the computed polymorphs = 0.1519 eV per atom
1.0
0.000 3.600 3.600
3.600 0.000 3.600
3.600 3.600 0.000
Ca Ho Ga Ge
1 1 1 1
direct
0.000 0.000 0.000
0.500 0.500 0.500
0.750 0.750 0.750
0.250 0.250 0.250

# 2
CaGaGeIr2 PBE-GGA optimized geometry; symmetry = P4/mmm (123); calculated total energy = -3.700 eV/atom; formation energy from the elements = 1.77 eV/atom
1.0
4.924 0.000 0.000
0.000 4.924 0.000
0.000 0.000 5.161
Ca Ga Ge Ir
1 1 1 2
direct
0.000 0.000 0.000
0.500 0.500 0.500
0.000 0.000 0.500
0.000 0.500 0.000
0.500 0.000 0.000

calculated total energy of number 2 (CaGaGeIr2)?
-3.700 eV/atom

The lowest calculated total energy belongs to which entry?
CaHoGaGe